Record 1
First-principles (PBE) data for a geometry-optimized BaSnSb3 structure, as listed in the Alexandria database.

Density of states at the Fermi level (states/eV/f.u.): 1.59
Electronic total energy (eV/f.u.): -19.658
Symmetry: P1
E_form (uncorrected) (kJ/mol of formula units): -131.7
Distance to the lowest polymorph of the same formula (meV/atom): 74.3
Magnetic moment (μB/atom): 0.00

a = 4.9466 Å, b = 11.5424 Å, c = 11.5387 Å
α = 136.73°, β = 102.45°, γ = 102.65°
Atoms (fractional coordinates):
Sb (0.4278, 0.1940, 0.2676)
Sb (0.4305, 0.9013, 0.5629)
Sb (0.6471, 0.8875, 0.0098)
Sb (0.2112, 0.2079, 0.8205)
Sb (0.6502, 0.6426, 0.2559)
Sb (0.2081, 0.4526, 0.5746)
Sn (0.3113, 0.1893, 0.5561)
Sn (0.5495, 0.9067, 0.2750)
Ba (0.9287, 0.7735, 0.6892)
Ba (0.9295, 0.3218, 0.1411)

=====

Record 2
First-principles (PBE) data for a geometry-optimized Ba2SnSb structure, as listed in the Alexandria database.

Density of states at the Fermi level (states/eV/f.u.): 2.97
Electronic total energy (eV/f.u.): -13.802
Symmetry: I-42d
E_form (uncorrected) (kJ/mol of formula units): -176.7
Distance to the lowest polymorph of the same formula (meV/atom): 311.6
Magnetic moment (μB/atom): 0.00

a = 9.4532 Å, b = 9.4532 Å, c = 7.6163 Å
α = 51.64°, β = 51.64°, γ = 90.00°
Atoms (fractional coordinates):
Ba (0.1130, 0.6250, 0.2500)
Ba (0.6370, 0.1250, 0.2500)
Ba (0.8750, 0.8870, 0.7500)
Ba (0.3750, 0.3630, 0.7500)
Sn (0.2500, 0.7500, 0.5000)
Sn (0.5000, 0.5000, 0.0000)
Sb (0.7500, 0.2500, 0.5000)
Sb (0.0000, 0.0000, 0.0000)

=====

Record 3
First-principles (PBE) data for a geometry-optimized BaSrSn2Sb structure, as listed in the Alexandria database.

Density of states at the Fermi level (states/eV/f.u.): 2.90
Electronic total energy (eV/f.u.): -15.846
Symmetry: P4/mmm
E_form (uncorrected) (kJ/mol of formula units): -10.9
Distance to the lowest polymorph of the same formula (meV/atom): 632.6
Magnetic moment (μB/atom): 0.00

a = 5.9002 Å, b = 6.2789 Å, c = 5.9002 Å
α = 90.00°, β = 90.00°, γ = 90.00°
Atoms (fractional coordinates):
Sn (0.0000, 0.0000, 0.5000)
Sn (0.5000, 0.0000, 0.0000)
Sr (0.5000, 0.5000, 0.5000)
Sb (0.0000, 0.0000, 0.0000)
Ba (0.0000, 0.5000, 0.0000)

=====

Record 4
First-principles (PBE) data for a geometry-optimized BaSrSn2Sb structure, as listed in the Alexandria database.

Density of states at the Fermi level (states/eV/f.u.): 1.95
Electronic total energy (eV/f.u.): -19.009
Symmetry: Imm2
E_form (uncorrected) (kJ/mol of formula units): -316.1
Distance to the lowest polymorph of the same formula (meV/atom): 0.0
Magnetic moment (μB/atom): 0.00

a = 4.7100 Å, b = 5.0023 Å, c = 8.5106 Å
α = 107.09°, β = 106.06°, γ = 90.00°
Atoms (fractional coordinates):
Sn (0.0433, 0.0433, 0.0865)
Sn (0.6555, 0.1555, 0.3111)
Sr (0.2067, 0.7067, 0.4134)
Sb (0.8594, 0.8594, 0.7187)
Ba (0.4473, 0.4473, 0.8946)

=====

Question: What is the magnetic moment in the third record?
Answer: 0.00 μB/atom

=====

Question: E_form (uncorrected) of number 4 (BaSrSn2Sb)?
Answer: -316.1 kJ/mol of formula units

=====

Question: What is the formula in the first record?
Answer: BaSnSb3